# 1
A plane-wave DFT calculation with PBE was carried out for a relaxed structure of MnCoSi2.

a b c (Å): 4.4919 4.4306 4.4975
angles (deg): 90.00 90.53 90.00
Atoms (fractional coordinates):
Mn  0.1060  0.0000  0.3710
Mn  0.8940  0.5000  0.6290
Co  0.3910  0.2261  0.8629
Co  0.6090  0.7261  0.1371
Si  0.0879  0.5204  0.1475
Si  0.4128  0.7038  0.6565
Si  0.5872  0.2038  0.3435
Si  0.9121  0.0204  0.8525

## Properties
Energy: -7.285 eV per atom
Offset from the most stable computed form: 0 meV per atom
V: 89.5 Å³/cell
Magnetic moment: 0.133 μB/f.u.
Energy relative to the elements, uncorrected: -0.50 eV/atom


# 2
A plane-wave DFT calculation with PBE was carried out for a relaxed structure of IrRh2Pb.

a b c (Å): 4.8308 4.8308 4.9477
angles (deg): 99.99 99.99 35.82
Atoms (fractional coordinates):
Ir  0.0000  0.0000  0.0000
Rh  0.4944  0.4944  0.4502
Rh  0.7445  0.7445  0.2036
Pb  0.2464  0.2464  0.7052

## Properties
Energy: -6.593 eV per atom
V: 66.4 Å³/cell
Magnetic moment: 0.000 μB/f.u.
DFT formation energy: 0.225 eV/atom